Compound: Hf2CuNi4
Source: the Alexandria database
Functional: PBE
Structure: relaxed

Geometry as extended XYZ:
```
14
Lattice="3.536 0.000 0.000 0.000 3.536 0.000 0.000 0.000 16.114" Properties=species:S:1:pos:R:3 pbc="T T T"
Hf 0.000 0.000 1.702
Hf 0.000 0.000 14.412
Hf 1.768 1.768 6.355
Hf 1.768 1.768 9.759
Cu 0.000 0.000 8.057
Cu 1.768 1.768 0.000
Ni 0.000 0.000 5.652
Ni 0.000 0.000 10.462
Ni 0.000 1.768 4.028
Ni 0.000 1.768 12.085
Ni 1.768 0.000 4.028
Ni 1.768 0.000 12.085
Ni 1.768 1.768 2.405
Ni 1.768 1.768 13.709
```

Summary:
Symmetry: I4/mmm, No. 139
Energy relative to the lowest polymorph listed for this composition: 0.000 eV/atom
Density of states at the Fermi level: 8.668 states/eV per cell
V: 201 Å³/cell
DFT formation energy: -0.29 eV per atom